MnOF | the Alexandria database | GGA+U | optimized geometry; symmetry = P3m1; VASP energy = -17.94 eV per cell
1.0
2.986 0.000 0.000
-1.493 2.586 0.000
0.000 0.000 4.801
Mn F O
1 1 1
Direct
0.667 0.333 0.358
0.000 0.000 0.118
0.333 0.667 0.524